Entry 1:
{
  "formula": "KTbF4",
  "functional": "PBE-GGA",
  "state": "optimized geometry",
  "e_tot_ev_per_atom": -5.929,
  "spacegroup": "Pnma",
  "lattice_angstrom": [[6.1501, 0.0000, 0.0000], [0.0000, 3.6419, 0.0000], [0.0000, 0.0000, 15.6055]],
  "species": ["K", "K", "K", "K", "Tb", "Tb", "Tb", "Tb", "F", "F", "F", "F", "F", "F", "F", "F", "F", "F", "F", "F", "F", "F", "F", "F"],
  "fractional_positions": [[0.2230, 0.2500, 0.2018], [0.2770, 0.7500, 0.7018], [0.7230, 0.2500, 0.2982], [0.7770, 0.7500, 0.7982], [0.2491, 0.7500, 0.4411], [0.2509, 0.2500, 0.9411], [0.7491, 0.7500, 0.0589], [0.7509, 0.2500, 0.5589], [0.0041, 0.2500, 0.0565], [0.0950, 0.2500, 0.8120], [0.1071, 0.2500, 0.3693], [0.1330, 0.2500, 0.5362], [0.3670, 0.7500, 0.0362], [0.3929, 0.7500, 0.8693], [0.4050, 0.7500, 0.3120], [0.4959, 0.7500, 0.5565], [0.5041, 0.2500, 0.4435], [0.5950, 0.2500, 0.6880], [0.6071, 0.2500, 0.1307], [0.6330, 0.2500, 0.9638], [0.8670, 0.7500, 0.4638], [0.8929, 0.7500, 0.6307], [0.9050, 0.7500, 0.1880], [0.9959, 0.7500, 0.9435]]
}

Entry 2:
{
  "formula": "KTbF4",
  "functional": "PBE-GGA",
  "state": "optimized geometry",
  "e_tot_ev_per_atom": -5.907,
  "spacegroup": "Cmc2_1",
  "lattice_angstrom": [[2.2100, -9.0713, 0.0000], [2.2100, 9.0713, 0.0000], [0.0000, 0.0000, 6.2231]],
  "species": ["K", "K", "Tb", "Tb", "F", "F", "F", "F", "F", "F", "F", "F"],
  "fractional_positions": [[0.1978, 0.8022, 0.5000], [0.8022, 0.1978, 0.0000], [0.4121, 0.5879, 0.4978], [0.5879, 0.4121, 0.9978], [0.0888, 0.9112, 0.9973], [0.3247, 0.6753, 0.2594], [0.3262, 0.6738, 0.7404], [0.4985, 0.5015, 0.2430], [0.5015, 0.4985, 0.7430], [0.6738, 0.3262, 0.2404], [0.6753, 0.3247, 0.7594], [0.9112, 0.0888, 0.4973]]
}

Entry 3:
{
  "formula": "KTb3F10",
  "functional": "PBE-GGA",
  "state": "optimized geometry",
  "e_tot_ev_per_atom": -6.402,
  "spacegroup": "Fm-3m",
  "lattice_angstrom": [[0.0000, 5.8630, 5.8630], [5.8630, 0.0000, 5.8630], [5.8630, 5.8630, 0.0000]],
  "species": ["K", "K", "Tb", "Tb", "Tb", "Tb", "Tb", "Tb", "F", "F", "F", "F", "F", "F", "F", "F", "F", "F", "F", "F", "F", "F", "F", "F", "F", "F", "F", "F"],
  "fractional_positions": [[0.2500, 0.2500, 0.2500], [0.7500, 0.7500, 0.7500], [0.2403, 0.2403, 0.7597], [0.2403, 0.7597, 0.2403], [0.2403, 0.7597, 0.7597], [0.7597, 0.2403, 0.2403], [0.7597, 0.2403, 0.7597], [0.7597, 0.7597, 0.2403], [0.1119, 0.1119, 0.1119], [0.1119, 0.1119, 0.6644], [0.1119, 0.6644, 0.1119], [0.1702, 0.5000, 0.5000], [0.1702, 0.5000, 0.8298], [0.1702, 0.8298, 0.5000], [0.3356, 0.8881, 0.8881], [0.5000, 0.1702, 0.5000], [0.5000, 0.1702, 0.8298], [0.5000, 0.5000, 0.1702], [0.5000, 0.5000, 0.8298], [0.5000, 0.8298, 0.1702], [0.5000, 0.8298, 0.5000], [0.6644, 0.1119, 0.1119], [0.8298, 0.1702, 0.5000], [0.8298, 0.5000, 0.1702], [0.8298, 0.5000, 0.5000], [0.8881, 0.3356, 0.8881], [0.8881, 0.8881, 0.3356], [0.8881, 0.8881, 0.8881]]
}

Entry 4:
{
  "formula": "K2TbF5",
  "functional": "PBE-GGA",
  "state": "optimized geometry",
  "e_tot_ev_per_atom": -5.531,
  "spacegroup": "Pnma",
  "lattice_angstrom": [[10.9711, 0.0000, 0.0000], [0.0000, 7.3622, 0.0000], [0.0000, 0.0000, 6.6950]],
  "species": ["K", "K", "K", "K", "K", "K", "K", "K", "Tb", "Tb", "Tb", "Tb", "F", "F", "F", "F", "F", "F", "F", "F", "F", "F", "F", "F", "F", "F", "F", "F", "F", "F", "F", "F"],
  "fractional_positions": [[0.1718, 0.0026, 0.0320], [0.1718, 0.4974, 0.0320], [0.3282, 0.5026, 0.5320], [0.3282, 0.9974, 0.5320], [0.6718, 0.0026, 0.4680], [0.6718, 0.4974, 0.4680], [0.8282, 0.5026, 0.9680], [0.8282, 0.9974, 0.9680], [0.0047, 0.2500, 0.5611], [0.4953, 0.7500, 0.0611], [0.5047, 0.2500, 0.9389], [0.9953, 0.7500, 0.4389], [0.0128, 0.2500, 0.8934], [0.0770, 0.5347, 0.6460], [0.0770, 0.9653, 0.6460], [0.1674, 0.2500, 0.3694], [0.1910, 0.7500, 0.3362], [0.3090, 0.2500, 0.8362], [0.3326, 0.7500, 0.8694], [0.4230, 0.0347, 0.1460], [0.4230, 0.4653, 0.1460], [0.4872, 0.7500, 0.3934], [0.5128, 0.2500, 0.6066], [0.5770, 0.5347, 0.8540], [0.5770, 0.9653, 0.8540], [0.6674, 0.2500, 0.1306], [0.6910, 0.7500, 0.1638], [0.8090, 0.2500, 0.6638], [0.8326, 0.7500, 0.6306], [0.9230, 0.0347, 0.3540], [0.9230, 0.4653, 0.3540], [0.9872, 0.7500, 0.1066]]
}

Entry 5:
{
  "formula": "K3TbF6",
  "functional": "PBE-GGA",
  "state": "optimized geometry",
  "e_tot_ev_per_atom": -5.160,
  "spacegroup": "I4/mmm",
  "lattice_angstrom": [[-3.5606, 3.5606, 4.6167], [3.5606, -3.5606, 4.6167], [3.5606, 3.5606, -4.6167]],
  "species": ["K", "K", "K", "Tb", "F", "F", "F", "F", "F", "F"],
  "fractional_positions": [[0.0000, 0.0000, 0.0000], [0.2500, 0.7500, 0.5000], [0.7500, 0.2500, 0.5000], [0.5000, 0.5000, 0.0000], [0.1924, 0.5000, 0.6924], [0.2607, 0.2607, 0.0000], [0.5000, 0.1924, 0.6924], [0.5000, 0.8076, 0.3076], [0.7393, 0.7393, 0.0000], [0.8076, 0.5000, 0.3076]]
}

Entry 6:
{
  "formula": "K2Tb2F7",
  "functional": "PBE-GGA",
  "state": "optimized geometry",
  "e_tot_ev_per_atom": -5.711,
  "spacegroup": "Cmmm",
  "lattice_angstrom": [[3.8254, -4.1275, 0.0000], [3.8254, 4.1275, 0.0000], [0.0000, 0.0000, 6.5283]],
  "species": ["K", "K", "Tb", "Tb", "F", "F", "F", "F", "F", "F", "F"],
  "fractional_positions": [[0.2390, 0.2390, 0.0000], [0.7610, 0.7610, 0.0000], [0.2295, 0.7705, 0.5000], [0.7705, 0.2295, 0.5000], [0.0000, 0.0000, 0.3048], [0.0000, 0.0000, 0.6952], [0.0000, 0.5000, 0.3024], [0.0000, 0.5000, 0.6976], [0.5000, 0.0000, 0.3024], [0.5000, 0.0000, 0.6976], [0.5000, 0.5000, 0.5000]]
}

Entry 7:
{
  "formula": "K5Tb2F12",
  "functional": "PBE-GGA",
  "state": "optimized geometry",
  "e_tot_ev_per_atom": -5.146,
  "spacegroup": "C2/m",
  "lattice_angstrom": [[6.6583, -3.9955, 0.0000], [6.6583, 3.9955, 0.0000], [-0.6706, 0.0000, 6.6683]],
  "species": ["K", "K", "K", "K", "K", "Tb", "Tb", "F", "F", "F", "F", "F", "F", "F", "F", "F", "F", "F", "F"],
  "fractional_positions": [[0.0000, 0.0000, 0.0000], [0.2422, 0.2422, 0.4481], [0.3489, 0.3489, 0.9557], [0.6511, 0.6511, 0.0443], [0.7578, 0.7578, 0.5519], [0.2530, 0.7470, 0.5000], [0.7470, 0.2530, 0.5000], [0.0730, 0.0730, 0.6335], [0.0919, 0.6976, 0.7368], [0.1775, 0.5596, 0.2709], [0.3024, 0.9081, 0.2632], [0.4372, 0.4372, 0.6315], [0.4404, 0.8225, 0.7291], [0.5596, 0.1775, 0.2709], [0.5628, 0.5628, 0.3685], [0.6976, 0.0919, 0.7368], [0.8225, 0.4404, 0.7291], [0.9081, 0.3024, 0.2632], [0.9270, 0.9270, 0.3665]]
}